No. 1
# PBE-GGA La2Pm5, optimized geometry
data_La2Pm5
_chemical_formula_sum 'La8 Pm20'
_symmetry_space_group_name_H-M 'C 1 2/c 1'
_symmetry_Int_Tables_number 15
_symmetry_space_group_name_Hall '-C 2yc'
_cell_length_a 16.3460
_cell_length_b 6.4212
_cell_length_c 9.5218
_cell_angle_alpha 90.00
_cell_angle_beta 94.37
_cell_angle_gamma 90.00
loop_
_atom_site_label
_atom_site_fract_x
_atom_site_fract_y
_atom_site_fract_z
La1 0.0714 0.1683 0.1070
Pm1 0.0000 0.3362 0.7500
Pm2 0.1452 0.3348 0.4650
Pm3 0.2135 0.1681 0.8212
# Crystal system = monoclinic
# Calculated volume = 35.6 Å³ per atom
# Distance to the lowest polymorph of the same formula = 0 meV/atom

No. 2
# PBE-GGA BeCuPb2Au, optimized geometry
data_BeCuPb2Au
_chemical_formula_sum 'Be1 Cu1 Pb2 Au1'
_symmetry_space_group_name_H-M 'P 4/m m m'
_symmetry_Int_Tables_number 123
_symmetry_space_group_name_Hall '-P 4 2'
_cell_length_a 5.0524
_cell_length_b 5.0524
_cell_length_c 4.4627
_cell_angle_alpha 90.00
_cell_angle_beta 90.00
_cell_angle_gamma 90.00
loop_
_atom_site_label
_atom_site_fract_x
_atom_site_fract_y
_atom_site_fract_z
Be1 0.0000 0.0000 0.0000
Cu1 0.5000 0.5000 0.5000
Pb1 0.0000 0.5000 0.0000
Au1 0.0000 0.0000 0.5000
# Crystal system = tetragonal
# Calculated volume = 22.8 Å³ per atom
# Total DFT energy (no corrections) = -3.2389 eV per atom

No. 3
# PBE-GGA Si2TcP, optimized geometry
data_Si2TcP
_chemical_formula_sum 'Si2 Tc1 P1'
_symmetry_space_group_name_H-M 'P 4/m m m'
_symmetry_Int_Tables_number 123
_symmetry_space_group_name_Hall '-P 4 2'
_cell_length_a 3.4588
_cell_length_b 3.4588
_cell_length_c 4.8433
_cell_angle_alpha 90.00
_cell_angle_beta 90.00
_cell_angle_gamma 90.00
loop_
_atom_site_label
_atom_site_fract_x
_atom_site_fract_y
_atom_site_fract_z
Si1 0.0000 0.5000 0.0000
Tc1 0.0000 0.0000 0.5000
P1 0.5000 0.5000 0.5000
# Crystal system = tetragonal
# Calculated volume = 14.5 Å³ per atom
# Total DFT energy (no corrections) = -6.2902 eV per atom

No. 4
# PBE-GGA ZrCuRu2, optimized geometry
data_ZrCuRu2
_chemical_formula_sum 'Zr2 Cu2 Ru4'
_symmetry_space_group_name_H-M 'I -4 m 2'
_symmetry_Int_Tables_number 119
_symmetry_space_group_name_Hall 'I -4 -2'
_cell_length_a 3.9083
_cell_length_b 3.9083
_cell_length_c 8.0248
_cell_angle_alpha 90.00
_cell_angle_beta 90.00
_cell_angle_gamma 90.00
loop_
_atom_site_label
_atom_site_fract_x
_atom_site_fract_y
_atom_site_fract_z
Zr1 0.0000 0.0000 0.0000
Cu1 0.0000 0.5000 0.2500
Ru1 0.0000 0.0000 0.5000
Ru2 0.0000 0.5000 0.7500
# Crystal system = tetragonal
# Calculated volume = 15.3 Å³ per atom
# Total DFT energy (no corrections) = -7.8749 eV per atom

No. 5
# PBE-GGA ScAlV2H, optimized geometry
data_ScAlV2H
_chemical_formula_sum 'Sc1 Al1 V2 H1'
_symmetry_space_group_name_H-M 'P 4/m m m'
_symmetry_Int_Tables_number 123
_symmetry_space_group_name_Hall '-P 4 2'
_cell_length_a 3.8864
_cell_length_b 3.8864
_cell_length_c 4.3644
_cell_angle_alpha 90.00
_cell_angle_beta 90.00
_cell_angle_gamma 90.00
loop_
_atom_site_label
_atom_site_fract_x
_atom_site_fract_y
_atom_site_fract_z
Sc1 0.0000 0.0000 0.0000
Al1 0.5000 0.5000 0.0000
V1 0.0000 0.5000 0.5000
H1 0.0000 0.0000 0.5000
# Crystal system = tetragonal
# Calculated volume = 13.2 Å³ per atom
# Total DFT energy (no corrections) = -6.4681 eV per atom

No. 6
# PBE-GGA SmDy2Sn, optimized geometry
data_SmDy2Sn
_chemical_formula_sum 'Sm1 Dy2 Sn1'
_symmetry_space_group_name_H-M 'P 4/m m m'
_symmetry_Int_Tables_number 123
_symmetry_space_group_name_Hall '-P 4 2'
_cell_length_a 4.8422
_cell_length_b 4.8422
_cell_length_c 4.8229
_cell_angle_alpha 90.00
_cell_angle_beta 90.00
_cell_angle_gamma 90.00
loop_
_atom_site_label
_atom_site_fract_x
_atom_site_fract_y
_atom_site_fract_z
Sm1 0.0000 0.0000 0.0000
Dy1 0.0000 0.5000 0.5000
Sn1 0.5000 0.5000 0.0000
# Crystal system = tetragonal
# Calculated volume = 28.3 Å³ per atom
# Distance to the lowest polymorph of the same formula = 0 meV/atom

No. 7
# PBE-GGA YTe2Cl2, optimized geometry
data_YTe2Cl2
_chemical_formula_sum 'Y2 Te4 Cl4'
_symmetry_space_group_name_H-M 'P 4/m b m'
_symmetry_Int_Tables_number 127
_symmetry_space_group_name_Hall '-P 4 2ab'
_cell_length_a 6.8738
_cell_length_b 6.8738
_cell_length_c 6.6399
_cell_angle_alpha 90.00
_cell_angle_beta 90.00
_cell_angle_gamma 90.00
loop_
_atom_site_label
_atom_site_fract_x
_atom_site_fract_y
_atom_site_fract_z
Y1 0.0000 0.0000 0.0000
Te1 0.1424 0.3576 0.5000
Cl1 0.1609 0.6609 0.0000
# Crystal system = tetragonal
# Calculated volume = 31.4 Å³ per atom
# Distance to the lowest polymorph of the same formula = 0 meV/atom

No. 8
# PBE-GGA LaBiPdPt, optimized geometry
data_LaBiPdPt
_chemical_formula_sum 'La4 Bi4 Pd4 Pt4'
_symmetry_space_group_name_H-M 'F -4 3 m'
_symmetry_Int_Tables_number 216
_symmetry_space_group_name_Hall 'F -4 2 3'
_cell_length_a 7.1500
_cell_length_b 7.1500
_cell_length_c 7.1500
_cell_angle_alpha 90.00
_cell_angle_beta 90.00
_cell_angle_gamma 90.00
loop_
_atom_site_label
_atom_site_fract_x
_atom_site_fract_y
_atom_site_fract_z
La1 0.0000 0.0000 0.0000
Bi1 0.0000 0.0000 0.5000
Pd1 0.2500 0.2500 0.2500
Pt1 0.2500 0.2500 0.7500
# Crystal system = cubic
# Calculated volume = 22.8 Å³ per atom
# Total DFT energy (no corrections) = -5.7360 eV per atom

No. 9
# PBE-GGA Mg2InNi, optimized geometry
data_Mg2InNi
_chemical_formula_sum 'Mg4 In2 Ni2'
_symmetry_space_group_name_H-M 'I -4 m 2'
_symmetry_Int_Tables_number 119
_symmetry_space_group_name_Hall 'I -4 -2'
_cell_length_a 4.2622
_cell_length_b 4.2622
_cell_length_c 7.8292
_cell_angle_alpha 90.00
_cell_angle_beta 90.00
_cell_angle_gamma 90.00
loop_
_atom_site_label
_atom_site_fract_x
_atom_site_fract_y
_atom_site_fract_z
Mg1 0.0000 0.0000 0.0000
Mg2 0.0000 0.5000 0.2500
In1 0.0000 0.0000 0.5000
Ni1 0.0000 0.5000 0.7500
# Crystal system = tetragonal
# Calculated volume = 17.8 Å³ per atom
# Total DFT energy (no corrections) = -3.0045 eV per atom

No. 10
# PBE-GGA PmTmGe2Rh5, optimized geometry
data_PmTmGe2Rh5
_chemical_formula_sum 'Pm1 Tm1 Ge2 Rh5'
_symmetry_space_group_name_H-M 'P 4/m m m'
_symmetry_Int_Tables_number 123
_symmetry_space_group_name_Hall '-P 4 2'
_cell_length_a 4.2023
_cell_length_b 4.2023
_cell_length_c 8.9505
_cell_angle_alpha 90.00
_cell_angle_beta 90.00
_cell_angle_gamma 90.00
loop_
_atom_site_label
_atom_site_fract_x
_atom_site_fract_y
_atom_site_fract_z
Pm1 0.0000 0.0000 0.0000
Tm1 0.0000 0.0000 0.5000
Ge1 0.5000 0.5000 0.3614
Rh1 0.0000 0.5000 0.2335
Rh2 0.5000 0.5000 0.0000
# Crystal system = tetragonal
# Calculated volume = 17.6 Å³ per atom
# Total DFT energy (no corrections) = -6.8243 eV per atom

No. 11
# PBE-GGA Ce2Pu2NiGe4, optimized geometry
data_Ce2Pu2NiGe4
_chemical_formula_sum 'Ce4 Pu4 Ni2 Ge8'
_symmetry_space_group_name_H-M 'I 4/m m m'
_symmetry_Int_Tables_number 139
_symmetry_space_group_name_Hall '-I 4 2'
_cell_length_a 6.8927
_cell_length_b 6.8927
_cell_length_c 8.4000
_cell_angle_alpha 90.00
_cell_angle_beta 90.00
_cell_angle_gamma 90.00
loop_
_atom_site_label
_atom_site_fract_x
_atom_site_fract_y
_atom_site_fract_z
Ce1 0.0000 0.5000 0.2500
Pu1 0.0000 0.0000 0.1788
Ni1 0.0000 0.0000 0.5000
Ge1 0.2372 0.2372 0.5000
# Crystal system = tetragonal
# Calculated volume = 22.2 Å³ per atom
# Total DFT energy (no corrections) = -7.6310 eV per atom

No. 12
# PBE-GGA Ac3ZnRu3, optimized geometry
data_Ac3ZnRu3
_chemical_formula_sum 'Ac12 Zn4 Ru12'
_symmetry_space_group_name_H-M 'C m c m'
_symmetry_Int_Tables_number 63
_symmetry_space_group_name_Hall '-C 2c 2'
_cell_length_a 4.4053
_cell_length_b 11.1852
_cell_length_c 14.0469
_cell_angle_alpha 90.00
_cell_angle_beta 90.00
_cell_angle_gamma 90.00
loop_
_atom_site_label
_atom_site_fract_x
_atom_site_fract_y
_atom_site_fract_z
Ac1 0.0000 0.0132 0.2500
Ac2 0.0000 0.2963 0.1040
Zn1 0.0000 0.0000 0.0000
Ru1 0.0000 0.2913 0.7500
Ru2 0.0000 0.4182 0.5899
# Crystal system = orthorhombic
# Calculated volume = 24.7 Å³ per atom
# Total DFT energy (no corrections) = -6.0519 eV per atom

No. 13
# PBE-GGA Ca2LaRh, optimized geometry
data_Ca2LaRh
_chemical_formula_sum 'Ca2 La1 Rh1'
_symmetry_space_group_name_H-M 'P 1 m 1'
_symmetry_Int_Tables_number 6
_symmetry_space_group_name_Hall 'P -2y'
_cell_length_a 4.2595
_cell_length_b 3.8402
_cell_length_c 8.4295
_cell_angle_alpha 90.00
_cell_angle_beta 104.63
_cell_angle_gamma 90.00
loop_
_atom_site_label
_atom_site_fract_x
_atom_site_fract_y
_atom_site_fract_z
Ca1 0.0000 0.0000 0.0000
Ca2 0.3334 0.5000 0.6668
La1 0.6769 0.0000 0.3551
Rh1 0.1493 0.5000 0.3010
# Crystal system = monoclinic
# Calculated volume = 33.4 Å³ per atom
# Distance to the lowest polymorph of the same formula = 59 meV/atom

No. 14
# PBE-GGA TaSn3, optimized geometry
data_TaSn3
_chemical_formula_sum 'Ta2 Sn6'
_symmetry_space_group_name_H-M 'P 63/m m c'
_symmetry_Int_Tables_number 194
_symmetry_space_group_name_Hall '-P 6c 2c'
_cell_length_a 6.2818
_cell_length_b 6.2818
_cell_length_c 5.3985
_cell_angle_alpha 90.00
_cell_angle_beta 90.00
_cell_angle_gamma 120.00
loop_
_atom_site_label
_atom_site_fract_x
_atom_site_fract_y
_atom_site_fract_z
Ta1 0.3333 0.6667 0.2500
Sn1 0.1739 0.3479 0.7500
# Crystal system = hexagonal
# Calculated volume = 23.1 Å³ per atom
# Total DFT energy (no corrections) = -5.5129 eV per atom

No. 15
# PBE-GGA Rb2HfFeCl6, optimized geometry
data_Rb2HfFeCl6
_chemical_formula_sum 'Rb4 Hf2 Fe2 Cl12'
_symmetry_space_group_name_H-M 'I 4/m m m'
_symmetry_Int_Tables_number 139
_symmetry_space_group_name_Hall '-I 4 2'
_cell_length_a 7.5597
_cell_length_b 7.5597
_cell_length_c 9.0939
_cell_angle_alpha 90.00
_cell_angle_beta 90.00
_cell_angle_gamma 90.00
loop_
_atom_site_label
_atom_site_fract_x
_atom_site_fract_y
_atom_site_fract_z
Rb1 0.0000 0.5000 0.2500
Hf1 0.0000 0.0000 0.0000
Fe1 0.0000 0.0000 0.5000
Cl1 0.0000 0.0000 0.2622
Cl2 0.2378 0.2378 0.0000
# Crystal system = tetragonal
# Calculated volume = 26.0 Å³ per atom
# Total DFT energy (no corrections) = -4.4964 eV per atom

No. 16
# PBE-GGA BaScTc2, optimized geometry
data_BaScTc2
_chemical_formula_sum 'Ba2 Sc2 Tc4'
_symmetry_space_group_name_H-M 'C 1 2/m 1'
_symmetry_Int_Tables_number 12
_symmetry_space_group_name_Hall '-C 2y'
_cell_length_a 9.6549
_cell_length_b 3.8153
_cell_length_c 6.5251
_cell_angle_alpha 90.00
_cell_angle_beta 108.94
_cell_angle_gamma 90.00
loop_
_atom_site_label
_atom_site_fract_x
_atom_site_fract_y
_atom_site_fract_z
Ba1 0.0000 0.0000 0.0000
Sc1 0.0000 0.5000 0.5000
Tc1 0.2463 0.5000 0.3930
# Crystal system = monoclinic
# Calculated volume = 28.4 Å³ per atom
# Distance to the lowest polymorph of the same formula = 195 meV/atom

No. 17
# PBE-GGA TmHfTa, optimized geometry
data_TmHfTa
_chemical_formula_sum 'Tm2 Hf2 Ta2'
_symmetry_space_group_name_H-M 'I 4 m m'
_symmetry_Int_Tables_number 107
_symmetry_space_group_name_Hall 'I 4 -2'
_cell_length_a 3.6578
_cell_length_b 3.6578
_cell_length_c 10.4427
_cell_angle_alpha 90.00
_cell_angle_beta 90.00
_cell_angle_gamma 90.00
loop_
_atom_site_label
_atom_site_fract_x
_atom_site_fract_y
_atom_site_fract_z
Tm1 0.0000 0.0000 0.0000
Hf1 0.0000 0.0000 0.3004
Ta1 0.0000 0.0000 0.6888
# Crystal system = tetragonal
# Calculated volume = 23.3 Å³ per atom
# Distance to the lowest polymorph of the same formula = 0 meV/atom

No. 18
# PBE-GGA LiCrRu2, optimized geometry
data_LiCrRu2
_chemical_formula_sum 'Li1 Cr1 Ru2'
_symmetry_space_group_name_H-M 'P 4 m m'
_symmetry_Int_Tables_number 99
_symmetry_space_group_name_Hall 'P 4 -2'
_cell_length_a 2.6430
_cell_length_b 2.6430
_cell_length_c 7.9153
_cell_angle_alpha 90.00
_cell_angle_beta 90.00
_cell_angle_gamma 90.00
loop_
_atom_site_label
_atom_site_fract_x
_atom_site_fract_y
_atom_site_fract_z
Li1 0.0000 0.0000 0.0000
Cr1 0.5000 0.5000 0.7229
Ru1 0.0000 0.0000 0.5016
Ru2 0.5000 0.5000 0.2562
# Crystal system = tetragonal
# Calculated volume = 13.8 Å³ per atom
# Distance to the lowest polymorph of the same formula = 309 meV/atom

No. 19
# PBE-GGA CdSnC3, optimized geometry
data_CdSnC3
_chemical_formula_sum 'Cd1 Sn1 C3'
_symmetry_space_group_name_H-M 'P m -3 m'
_symmetry_Int_Tables_number 221
_symmetry_space_group_name_Hall '-P 4 2 3'
_cell_length_a 4.3410
_cell_length_b 4.3410
_cell_length_c 4.3410
_cell_angle_alpha 90.00
_cell_angle_beta 90.00
_cell_angle_gamma 90.00
loop_
_atom_site_label
_atom_site_fract_x
_atom_site_fract_y
_atom_site_fract_z
Cd1 0.0000 0.0000 0.0000
Sn1 0.5000 0.5000 0.5000
C1 0.0000 0.5000 0.5000
# Crystal system = cubic
# Calculated volume = 16.4 Å³ per atom
# Distance to the lowest polymorph of the same formula = 0 meV/atom

No. 20
# PBE-GGA PtSCl2O, optimized geometry
data_PtSCl2O
_chemical_formula_sum 'Pt1 S1 Cl2 O1'
_symmetry_space_group_name_H-M 'P 4/m m m'
_symmetry_Int_Tables_number 123
_symmetry_space_group_name_Hall '-P 4 2'
_cell_length_a 5.0449
_cell_length_b 5.0449
_cell_length_c 4.4699
_cell_angle_alpha 90.00
_cell_angle_beta 90.00
_cell_angle_gamma 90.00
loop_
_atom_site_label
_atom_site_fract_x
_atom_site_fract_y
_atom_site_fract_z
Pt1 0.0000 0.0000 0.0000
S1 0.0000 0.0000 0.5000
Cl1 0.0000 0.5000 0.0000
O1 0.5000 0.5000 0.5000
# Crystal system = tetragonal
# Calculated volume = 22.8 Å³ per atom
# Distance to the lowest polymorph of the same formula = 0 meV/atom